This record from the Alexandria database describes an optimized crystal structure of K3NiO2. The functional is PBE+U.

abc: 6.1186 6.1186 7.0323
angles: 90.00 90.00 90.00
Last column: nearest neighbours and their distance in Å.
Atoms (fractional coordinates):
K: 0.0000 0.5000 0.2500  4 O 2.81
K: 0.5000 0.0000 0.7500  4 O 2.81
K: 0.0000 0.5000 0.7500  4 O 2.81
K: 0.5000 0.0000 0.2500  4 O 2.81
K: 0.0000 0.0000 0.5000  2 O 2.53
K: 0.5000 0.5000 0.0000  2 O 2.53
Ni: 0.5000 0.5000 0.5000  2 O 1.79
Ni: 0.0000 0.0000 0.0000  2 O 1.79
O: 0.7071 0.7071 0.5000  1 Ni 1.79
O: 0.2929 0.2929 0.5000  1 Ni 1.79
O: 0.7929 0.2071 0.0000  1 Ni 1.79
O: 0.2071 0.7929 0.0000  1 Ni 1.79

Values from the calculation:
- space group = P4_2/mnm
- total energy (eV/atom) = -3.634